PBE Sm3Y2Ho6Pu, relaxed; formation energy from the elements = 1.07 kcal/mol of atoms
1.0
2.509 -7.530 0.000
2.509 7.530 0.000
0.000 0.000 10.026
Sm Y Ho Pu
3 2 6 1
direct
0.000 0.000 0.000
0.333 0.667 0.000
0.667 0.333 0.000
0.336 0.664 0.500
0.664 0.336 0.500
0.165 0.835 0.254
0.165 0.835 0.746
0.500 0.500 0.255
0.500 0.500 0.745
0.835 0.165 0.254
0.835 0.165 0.746
0.000 0.000 0.500